Record 1
Computed, not measured: crystalline K3Be2BiO6 at its relaxed geometry at the GGA-PBE level of DFT.

Values from the calculation:
- Formation energy without anion corrections: -20.43 eV/f.u.

abc: 5.625 5.625 6.954
angles: 90.00 90.00 120.00
Element x y z (fractional)
O1 0.826 0.174 0.690
O2 0.348 0.174 0.690
O3 0.826 0.652 0.690
Be1 0.667 0.333 0.677
O4 0.652 0.826 0.310
K1 0.667 0.333 0.254
K2 0.000 0.000 0.000
O5 0.174 0.826 0.310
Be2 0.333 0.667 0.323
O6 0.174 0.348 0.310
Bi1 0.000 0.000 0.500
K3 0.333 0.667 0.746



Record 2
Computed, not measured: crystalline K2BeBiRh at its relaxed geometry at the GGA-PBE level of DFT.

Values from the calculation:
- Energy of formation from the pure elements: 0.66 eV/atom

abc: 6.232 5.103 6.232
angles: 90.00 90.00 90.00
Element x y z (fractional)
Rh1 0.000 0.000 0.000
Bi1 0.000 0.500 0.000
Be1 0.500 0.500 0.500
K1 0.500 0.000 0.000
K2 0.000 0.000 0.500



Record 3
Computed, not measured: crystalline KBeBiRu2 at its relaxed geometry at the GGA-PBE level of DFT.

Values from the calculation:
- Energy of formation from the pure elements: 0.92 eV/atom

abc: 4.429 4.877 4.429
angles: 90.00 90.00 90.00
Site moments in Bohr magnetons follow the coordinates.
Element x y z (fractional)
Be1 0.000 0.000 0.000  -0.03
Ru1 0.500 0.000 0.000  0.53
K1 0.000 0.500 0.000  -0.01
Ru2 0.000 0.000 0.500  0.72
Bi1 0.500 0.500 0.500  -0.07



Record 4
Computed, not measured: crystalline KBeBiS3 at its relaxed geometry at the GGA-PBE level of DFT.

Values from the calculation:
- Formation energy without anion corrections: -5.00 eV/f.u.

abc: 3.886 9.330 8.998
angles: 104.39 90.00 90.00
Element x y z (fractional)
Bi1 0.750 0.346 0.847
K1 0.250 0.173 0.217
S1 0.750 0.870 0.164
Be1 0.250 0.076 0.594
Bi2 0.250 0.654 0.153
Be2 0.750 0.924 0.406
S2 0.250 0.575 0.851
S3 0.250 0.130 0.836
S4 0.750 0.425 0.149
S5 0.750 0.153 0.509
S6 0.250 0.847 0.491
K2 0.750 0.827 0.783



Record 5
Computed, not measured: crystalline KBeBiS2 at its relaxed geometry at the GGA-PBE level of DFT.

Values from the calculation:
- Formation energy without anion corrections: 7.74 eV/f.u.

abc: 5.422 6.083 5.422
angles: 90.00 90.00 90.00
Site moments in Bohr magnetons follow the coordinates.
Element x y z (fractional)
S1 0.500 0.000 0.000  0.45
Bi1 0.000 0.500 0.000  0.23
S2 0.000 0.000 0.500  0.53
K1 0.000 0.000 0.000  0.03
Be1 0.500 0.500 0.500  0.00



Record 6
Computed, not measured: crystalline KBeBi2Sb at its relaxed geometry at the GGA-PBE level of DFT.

Values from the calculation:
- Formation energy without anion corrections: 8.26 eV/f.u.

abc: 5.931 5.854 5.931
angles: 90.00 90.00 90.00
Element x y z (fractional)
Sb1 0.000 0.500 0.000
Bi1 0.000 0.000 0.500
Be1 0.500 0.500 0.500
K1 0.000 0.000 0.000
Bi2 0.500 0.000 0.000



Record 7
Computed, not measured: crystalline KBeBi2Sb at its relaxed geometry at the GGA-PBE level of DFT.

Values from the calculation:
- Formation energy without anion corrections: 7.41 eV/f.u.

abc: 5.986 5.108 5.986
angles: 90.00 90.00 90.00
Element x y z (fractional)
Sb1 0.500 0.500 0.500
Be1 0.000 0.500 0.000
K1 0.000 0.000 0.000
Bi1 0.500 0.000 0.000
Bi2 0.000 0.000 0.500



Record 8
Computed, not measured: crystalline La3BeBi at its relaxed geometry at the GGA-PBE level of DFT.

Values from the calculation:
- Energy of formation from the pure elements: -0.17 eV/atom

abc: 5.448 5.448 5.448
angles: 90.00 90.00 90.00
Element x y z (fractional)
Be1 0.000 0.000 0.000
La1 0.500 0.000 0.000
La2 0.000 0.000 0.500
Bi1 0.500 0.500 0.500
La3 0.000 0.500 0.000



Record 9
Computed, not measured: crystalline La2Be2Bi at its relaxed geometry at the GGA-PBE level of DFT.

Values from the calculation:
- Energy of formation from the pure elements: -0.16 eV/atom

abc: 7.295 7.295 4.526
angles: 90.00 90.00 90.00
Element x y z (fractional)
La1 0.673 0.827 0.500
Be1 0.894 0.606 0.000
Be2 0.606 0.106 0.000
Be3 0.106 0.394 0.000
La2 0.173 0.673 0.500
La3 0.827 0.327 0.500
Bi1 0.500 0.500 0.000
La4 0.327 0.173 0.500
Bi2 0.000 0.000 0.000
Be4 0.394 0.894 0.000



Record 10
Computed, not measured: crystalline LaBeBi2 at its relaxed geometry at the GGA-PBE level of DFT.

Values from the calculation:
- Energy of formation from the pure elements: 0.16 eV/atom

abc: 5.399 5.399 5.399
angles: 60.00 60.00 60.00
Element x y z (fractional)
Bi1 0.250 0.250 0.250
Be1 0.000 0.000 0.000
La1 0.500 0.500 0.500
Bi2 0.750 0.750 0.750



Record 11
Computed, not measured: crystalline LaBeBi2 at its relaxed geometry at the GGA-PBE level of DFT.

Values from the calculation:
- Energy of formation from the pure elements: -0.25 eV/atom

abc: 7.823 7.823 6.638
angles: 53.90 53.90 90.00
Element x y z (fractional)
Bi1 0.548 0.125 0.250
Bi2 0.202 0.625 0.250
Bi3 0.875 0.798 0.750
La1 0.750 0.250 0.500
Be1 0.500 0.500 0.000
La2 0.000 0.000 0.000
Be2 0.250 0.750 0.500
Bi4 0.375 0.452 0.750



Record 12
Computed, not measured: crystalline La2BeBiPd6 at its relaxed geometry at the GGA-PBE level of DFT.

Values from the calculation:
- Energy of formation from the pure elements: -0.62 eV/atom

abc: 5.979 7.676 7.676
angles: 45.78 67.26 90.11
Element x y z (fractional)
Pd1 0.270 0.733 0.941
Pd2 0.730 0.267 0.059
La1 0.251 0.746 0.495
Be1 0.500 0.500 0.000
Pd3 0.270 0.211 0.463
Pd4 0.730 0.789 0.537
La2 0.749 0.254 0.505
Pd5 0.206 0.268 0.062
Pd6 0.794 0.732 0.938
Bi1 0.000 0.000 0.000



Record 13
Computed, not measured: crystalline La2BeBiPt at its relaxed geometry at the GGA-PBE level of DFT.

Values from the calculation:
- Energy of formation from the pure elements: 0.09 eV/atom

abc: 5.602 5.377 5.602
angles: 90.00 90.00 90.00
Element x y z (fractional)
La1 0.000 0.000 0.500
Bi1 0.000 0.500 0.000
La2 0.500 0.000 0.000
Pt1 0.000 0.000 0.000
Be1 0.500 0.500 0.500



Energy values, unit eV per atom, following the record order: -5.400, -2.771, -4.527, -4.348, -1.845, -1.690, -1.860, -4.646, -4.396, -3.946, -4.351, -5.480, -4.609.